Material: HfCuNO2
Method: DFT, PBE
State: optimized geometry

Properties
- Volume: 13.908 Å³ per atom
- Electronic total energy: -7.2177 eV/atom

Lattice parameters (Å, degrees): 4.0515 4.0515 4.2363 90.00 90.00 90.00
Space group P4/mmm (No. 123)
One atom of each set of equivalent atoms:
Hf (0.0000, 0.0000, 0.0000) (multiplicity 1)
Cu (0.5000, 0.5000, 0.5000) (multiplicity 1)
N (0.0000, 0.0000, 0.5000) (multiplicity 1)
O (0.0000, 0.5000, 0.0000) (multiplicity 2)